The following is a PBE calculation of a geometry-optimized MgFeCu2 structure, from Alexandria via LeMat-Bulk.

Unit cell a=5.9998 b=5.9998 c=5.9998 alpha=90.00 beta=90.00 gamma=90.00
Space group F-43m (No. 216)
Symmetry-distinct sites (fractional):
Mg  0.0000  0.0000  0.0000 x4
Fe  0.2500  0.2500  0.7500 x4
Cu  0.0000  0.0000  0.5000 x4
Cu  0.2500  0.2500  0.2500 x4

Crystal system = cubic
DFT total energy = -69.9 eV/cell
V = 13.50 Å³ per atom
Magnetic moment = 11.1 Bohr magnetons per cell



The following is a PBE calculation of a geometry-optimized MgFeCu2 structure, from Alexandria via LeMat-Bulk.

Unit cell a=2.7072 b=2.7072 c=25.9136 alpha=90.00 beta=90.00 gamma=120.00
Space group R-3m (No. 166, hexagonal axes)
Symmetry-distinct sites (fractional):
Mg  0.0000  0.0000  0.0000 x3
Fe  0.0000  0.0000  0.5000 x3
Cu  0.0000  0.0000  0.2462 x6

Crystal system = trigonal
DFT total energy = -52.4 eV/cell
V = 13.71 Å³ per atom
Magnetic moment = 8.4 Bohr magnetons per cell



The following is a PBE calculation of a geometry-optimized Mg6FeCu structure, from Alexandria via LeMat-Bulk.

Unit cell a=4.7368 b=6.1048 c=10.4169 alpha=90.00 beta=90.00 gamma=90.00
Space group Amm2 (No. 38)
Symmetry-distinct sites (fractional):
Mg  0.0000  0.0000  0.9999 x2
Mg  0.0000  0.0000  0.5000 x2
Mg  0.0000  0.2476  0.2628 x4
Mg  0.5000  0.2491  0.5903 x4
Fe  0.5000  0.0000  0.3423 x2
Cu  0.5000  0.0000  0.8405 x2

Crystal system = orthorhombic
DFT total energy = -41.8 eV/cell
V = 18.83 Å³ per atom
Distance to the lowest polymorph of the same formula = 0.004 eV/atom
Magnetic moment = 5.5 Bohr magnetons per cell



The following is a PBE calculation of a geometry-optimized MgFe2Cu structure, from Alexandria via LeMat-Bulk.

Unit cell a=2.5788 b=4.3350 c=4.8343 alpha=90.00 beta=100.67 gamma=90.00
Space group P2/m (No. 10)
Symmetry-distinct sites (fractional):
Mg  0.0000  0.0000  0.0000 x1
Fe  0.2688  0.5000  0.7379 x2
Cu  0.5000  0.0000  0.5000 x1

Crystal system = monoclinic
DFT total energy = -21.7 eV/cell
V = 13.28 Å³ per atom
Magnetic moment = 4.8 Bohr magnetons per cell



The following is a PBE calculation of a geometry-optimized MgFe2Cu2 structure, from Alexandria via LeMat-Bulk.

Unit cell a=3.5096 b=3.5096 c=11.6772 alpha=90.00 beta=90.00 gamma=90.00
Space group I4/mmm (No. 139)
Symmetry-distinct sites (fractional):
Mg  0.0000  0.0000  0.0000 x2
Fe  0.0000  0.5000  0.2500 x4
Cu  0.0000  0.0000  0.3993 x4

Crystal system = tetragonal
DFT total energy = -50.9 eV/cell
V = 14.38 Å³ per atom
Distance to the lowest polymorph of the same formula = 0.034 eV/atom
Magnetic moment = 10.5 Bohr magnetons per cell



The following is a PBE calculation of a geometry-optimized MgFeCu2 structure, from Alexandria via LeMat-Bulk.

Unit cell a=2.7162 b=3.5076 c=5.7339 alpha=90.00 beta=90.29 gamma=90.00
Space group P2/m (No. 10)
Symmetry-distinct sites (fractional):
Mg  0.0000  0.0000  0.0000 x1
Fe  0.0000  0.0000  0.5000 x1
Cu  0.4984  0.5000  0.2771 x2

Crystal system = monoclinic
DFT total energy = -17.8 eV/cell
V = 13.66 Å³ per atom
Magnetic moment = 2.6 Bohr magnetons per cell



The following is a PBE calculation of a geometry-optimized MgFe2Cu structure, from Alexandria via LeMat-Bulk.

Unit cell a=3.8176 b=3.8176 c=7.2297 alpha=90.00 beta=90.00 gamma=90.00
Space group I-4m2 (No. 119)
Symmetry-distinct sites (fractional):
Mg  0.0000  0.0000  0.0000 x2
Fe  0.0000  0.0000  0.5000 x2
Fe  0.0000  0.5000  0.2500 x2
Cu  0.0000  0.5000  0.7500 x2

Crystal system = tetragonal
DFT total energy = -43.7 eV/cell
V = 13.17 Å³ per atom
Magnetic moment = 9.6 Bohr magnetons per cell



The following is a PBE calculation of a geometry-optimized MgFeCu2 structure, from Alexandria via LeMat-Bulk.

Unit cell a=2.7114 b=2.7114 c=7.3488 alpha=90.00 beta=90.00 gamma=90.00
Space group P4mm (No. 99)
Symmetry-distinct sites (fractional):
Mg  0.0000  0.0000  0.0000 x1
Fe  0.5000  0.5000  0.7268 x1
Cu  0.0000  0.0000  0.4982 x1
Cu  0.5000  0.5000  0.2715 x1

Crystal system = tetragonal
DFT total energy = -17.8 eV/cell
V = 13.51 Å³ per atom
Magnetic moment = 2.4 Bohr magnetons per cell